The following is a DFT calculation (PBE) of a relaxed structure of PmSm2HoH.

a = 5.082 Å, b = 5.082 Å, c = 5.052 Å
α = 90.00°, β = 90.00°, γ = 90.00°
Fractional positions:
Pm 0.000 0.000 0.000
Sm 0.000 0.500 0.500
Sm 0.500 0.000 0.500
Ho 0.500 0.500 0.000
H 0.500 0.500 0.500

Results
- Raw total energy: -4.60 eV/atom
- Size of the total moment: 0.00 Bohr magnetons per cell

=====

The following is a DFT calculation (PBE) of a relaxed structure of Pm2Ho4Tl3H2.

a = 12.731 Å, b = 12.731 Å, c = 12.731 Å
α = 158.37°, β = 158.37°, γ = 30.77°
Fractional positions:
Pm 0.197 0.197 0.000
Pm 0.803 0.803 0.000
Ho 0.083 0.583 0.500
Ho 0.417 0.917 0.500
Ho 0.583 0.083 0.500
Ho 0.917 0.417 0.500
Tl 0.329 0.329 0.000
Tl 0.500 0.500 0.000
Tl 0.671 0.671 0.000
H 0.098 0.098 0.000
H 0.902 0.902 0.000

Results
- Raw total energy: -4.08 eV/atom
- Size of the total moment: 0.00 Bohr magnetons per cell

=====

The following is a DFT calculation (PBE) of a relaxed structure of Pr2HoH8.

a = 6.581 Å, b = 6.581 Å, c = 6.581 Å
α = 146.22°, β = 132.79°, γ = 59.30°
Fractional positions:
Pr 0.168 0.168 0.000
Pr 0.832 0.832 0.000
Ho 0.500 0.500 0.000
H 0.095 0.347 0.748
H 0.253 0.000 0.253
H 0.333 0.833 0.500
H 0.401 0.653 0.748
H 0.599 0.347 0.252
H 0.667 0.167 0.500
H 0.747 0.000 0.747
H 0.905 0.653 0.252

Results
- Raw total energy: -4.30 eV/atom
- Size of the total moment: 0.00 Bohr magnetons per cell

=====

The following is a DFT calculation (PBE) of a relaxed structure of Pr3HoH8.

a = 5.435 Å, b = 5.435 Å, c = 5.435 Å
α = 90.00°, β = 90.00°, γ = 90.00°
Fractional positions:
Pr 0.000 0.000 0.500
Pr 0.000 0.500 0.000
Pr 0.500 0.000 0.000
Ho 0.500 0.500 0.500
H 0.260 0.260 0.260
H 0.260 0.260 0.740
H 0.260 0.740 0.260
H 0.260 0.740 0.740
H 0.740 0.260 0.260
H 0.740 0.260 0.740
H 0.740 0.740 0.260
H 0.740 0.740 0.740

Results
- Raw total energy: -4.47 eV/atom
- Size of the total moment: 0.00 Bohr magnetons per cell